VASP calculation (PBE-GGA) on ScBe2Zn2 after structural relaxation. Values from VASP.

Output
Energy above the lowest structure with this stoichiometry = 0.100 eV per atom
N(E_F) = 4.1 states/eV/cell
Calculated volume = 13.2 Å³/atom
Electronic total energy = -32.38 eV for the cell shown
Symmetry = P4/mbm, No. 127

Structure (Quantum ESPRESSO input):
```
&SYSTEM
  ibrav = 0, nat = 10, ntyp = 3
/
ATOMIC_SPECIES
Sc 44.96 Sc.upf
Be 9.01 Be.upf
Zn 65.41 Zn.upf
CELL_PARAMETERS angstrom
7.2006 0.0000 0.0000
0.0000 7.2006 0.0000
0.0000 0.0000 2.5466
ATOMIC_POSITIONS crystal
Sc 0.0000 0.0000 0.0000
Sc 0.5000 0.5000 0.0000
Be 0.1261 0.3739 0.0000
Be 0.3739 0.8739 0.0000
Be 0.6261 0.1261 0.0000
Be 0.8739 0.6261 0.0000
Zn 0.1662 0.6662 0.5000
Zn 0.3338 0.1662 0.5000
Zn 0.6662 0.8338 0.5000
Zn 0.8338 0.3338 0.5000
```

=====

VASP calculation (PBE-GGA) on SmPaPt2 after structural relaxation. Values from VASP.

Output
Energy above the lowest structure with this stoichiometry = 0.088 eV per atom
N(E_F) = 3.4 states/eV/cell
Calculated volume = 24.8 Å³/atom
Electronic total energy = -30.23 eV for the cell shown
Symmetry = R3m, No. 160

Structure (Quantum ESPRESSO input):
```
&SYSTEM
  ibrav = 0, nat = 4, ntyp = 3
/
ATOMIC_SPECIES
Sm 150.36 Sm.upf
Pa 231.04 Pa.upf
Pt 195.08 Pt.upf
CELL_PARAMETERS angstrom
2.0017 1.1557 7.1400
-2.0017 1.1557 7.1400
0.0000 -2.3114 7.1400
ATOMIC_POSITIONS crystal
Sm 0.0000 0.0000 0.0000
Pa 0.8285 0.8285 0.8285
Pt 0.2402 0.2402 0.2402
Pt 0.4195 0.4195 0.4195
```

=====

VASP calculation (PBE-GGA) on Ac6Tl5I after structural relaxation. Values from VASP.

Output
Formation energy from raw total energies = -0.4257 eV/atom
N(E_F) = 8.6 states/eV/cell
Calculated volume = 35.4 Å³/atom
Electronic total energy = -43.14 eV for the cell shown
Symmetry = Cmmm, No. 65

Structure (Quantum ESPRESSO input):
```
&SYSTEM
  ibrav = 0, nat = 12, ntyp = 3
/
ATOMIC_SPECIES
Ac 227.00 Ac.upf
Tl 204.38 Tl.upf
I 126.90 I.upf
CELL_PARAMETERS angstrom
2.8787 -8.5530 0.0000
2.8787 8.5530 0.0000
0.0000 0.0000 8.6279
ATOMIC_POSITIONS crystal
Ac 0.0000 0.0000 0.2440
Ac 0.0000 0.0000 0.7560
Ac 0.3347 0.6653 0.2450
Ac 0.3347 0.6653 0.7550
Ac 0.6653 0.3347 0.2450
Ac 0.6653 0.3347 0.7550
Tl 0.1675 0.8325 0.0000
Tl 0.1732 0.8268 0.5000
Tl 0.5000 0.5000 0.0000
Tl 0.8268 0.1732 0.5000
Tl 0.8325 0.1675 0.0000
I 0.5000 0.5000 0.5000
```

=====

VASP calculation (PBE-GGA) on TbNdPuTl after structural relaxation. Values from VASP.

Output
N(E_F) = 16.2 states/eV/cell
Calculated volume = 29.2 Å³/atom
Electronic total energy = -25.97 eV for the cell shown
Symmetry = F-43m, No. 216

Structure (Quantum ESPRESSO input):
```
&SYSTEM
  ibrav = 0, nat = 4, ntyp = 4
/
ATOMIC_SPECIES
Tb 158.93 Tb.upf
Nd 144.24 Nd.upf
Pu 244.00 Pu.upf
Tl 204.38 Tl.upf
CELL_PARAMETERS angstrom
0.0000 3.8810 3.8810
3.8810 0.0000 3.8810
3.8810 3.8810 0.0000
ATOMIC_POSITIONS crystal
Tb 0.0000 0.0000 0.0000
Nd 0.5000 0.5000 0.5000
Pu 0.7500 0.7500 0.7500
Tl 0.2500 0.2500 0.2500
```

=====

VASP calculation (PBE-GGA) on Zn2NiCl after structural relaxation. Values from VASP.

Output
Formation energy from raw total energies = -0.1080 eV/atom
Energy above the lowest structure with this stoichiometry = 0.095 eV per atom
N(E_F) = 2.3 states/eV/cell
Calculated volume = 16.1 Å³/atom
Electronic total energy = -10.61 eV for the cell shown
Symmetry = R-3m, No. 166

Structure (Quantum ESPRESSO input):
```
&SYSTEM
  ibrav = 0, nat = 4, ntyp = 3
/
ATOMIC_SPECIES
Zn 65.41 Zn.upf
Ni 58.69 Ni.upf
Cl 35.45 Cl.upf
CELL_PARAMETERS angstrom
1.5786 0.9114 7.4533
-1.5786 0.9114 7.4533
0.0000 -1.8229 7.4533
ATOMIC_POSITIONS crystal
Zn 0.2420 0.2420 0.2420
Zn 0.7580 0.7580 0.7580
Ni 0.5000 0.5000 0.5000
Cl 0.0000 0.0000 0.0000
```

=====

VASP calculation (PBE-GGA) on Pd7Pb2Au after structural relaxation. Values from VASP.

Output
N(E_F) = 7.5 states/eV/cell
Calculated volume = 20.0 Å³/atom
Electronic total energy = -46.03 eV for the cell shown
Symmetry = Cmmm, No. 65

Structure (Quantum ESPRESSO input):
```
&SYSTEM
  ibrav = 0, nat = 10, ntyp = 3
/
ATOMIC_SPECIES
Pd 106.42 Pd.upf
Pb 207.20 Pb.upf
Au 196.97 Au.upf
CELL_PARAMETERS angstrom
4.2205 -8.1005 0.0000
4.2205 8.1005 0.0000
0.0000 0.0000 2.9232
ATOMIC_POSITIONS crystal
Pd 0.0000 0.0000 0.0000
Pd 0.1808 0.3595 0.0000
Pd 0.3252 0.6748 0.5000
Pd 0.3595 0.1808 0.0000
Pd 0.6405 0.8192 0.0000
Pd 0.6748 0.3252 0.5000
Pd 0.8192 0.6405 0.0000
Pb 0.1802 0.8198 0.0000
Pb 0.8198 0.1802 0.0000
Au 0.5000 0.5000 0.5000
```

=====

VASP calculation (PBE-GGA) on BiAuI2N after structural relaxation. Values from VASP.

Output
Formation energy from raw total energies = 0.8148 eV/atom
Energy above the lowest structure with this stoichiometry = 0.000 eV per atom
N(E_F) = 4.9 states/eV/cell
Calculated volume = 28.8 Å³/atom
Electronic total energy = -14.51 eV for the cell shown
Symmetry = P4/mmm, No. 123

Structure (Quantum ESPRESSO input):
```
&SYSTEM
  ibrav = 0, nat = 5, ntyp = 4
/
ATOMIC_SPECIES
Bi 208.98 Bi.upf
Au 196.97 Au.upf
I 126.90 I.upf
N 14.01 N.upf
CELL_PARAMETERS angstrom
6.1659 0.0000 0.0000
0.0000 6.1659 0.0000
0.0000 0.0000 3.7899
ATOMIC_POSITIONS crystal
Bi 0.0000 0.0000 0.0000
Au 0.5000 0.5000 0.5000
I 0.0000 0.5000 0.5000
I 0.5000 0.0000 0.5000
N 0.5000 0.5000 0.0000
```

=====

VASP calculation (PBE-GGA) on NdHoS3 after structural relaxation. Values from VASP.

Output
Formation energy from raw total energies = -2.0789 eV/atom
Energy above the lowest structure with this stoichiometry = 0.000 eV per atom
Calculated volume = 22.6 Å³/atom
Electronic total energy = -128.49 eV for the cell shown
Symmetry = Pnma, No. 62

Structure (Quantum ESPRESSO input):
```
&SYSTEM
  ibrav = 0, nat = 20, ntyp = 3
/
ATOMIC_SPECIES
Nd 144.24 Nd.upf
Ho 164.93 Ho.upf
S 32.06 S.upf
CELL_PARAMETERS angstrom
7.3958 0.0000 0.0000
0.0000 3.9860 0.0000
0.0000 0.0000 15.3655
ATOMIC_POSITIONS crystal
Nd 0.1434 0.2500 0.2011
Nd 0.3566 0.7500 0.7011
Nd 0.6434 0.2500 0.2989
Nd 0.8566 0.7500 0.7989
Ho 0.2306 0.7500 0.4567
Ho 0.2694 0.2500 0.9567
Ho 0.7306 0.7500 0.0433
Ho 0.7694 0.2500 0.5433
S 0.0118 0.2500 0.3951
S 0.1250 0.7500 0.0620
S 0.1492 0.2500 0.7848
S 0.3508 0.7500 0.2848
S 0.3750 0.2500 0.5620
S 0.4882 0.7500 0.8951
S 0.5118 0.2500 0.1049
S 0.6250 0.7500 0.4380
S 0.6492 0.2500 0.7152
S 0.8508 0.7500 0.2152
S 0.8750 0.2500 0.9380
S 0.9882 0.7500 0.6049
```